(1)
This record from Alexandria via LeMat-Bulk describes an optimized crystal structure of SrMg3Ga. The functional is PBE-GGA.

Properties
Excess energy over the best structure of this formula in the dataset, meV/atom: 1254
Spin magnetization, μB per formula unit: 0.0

Geometry as POSCAR:
```
SrMg3Ga
1.0
6.368 0.000 0.000
0.000 6.368 0.000
0.000 0.000 6.368
Sr Mg Ga
1 3 1
direct
0.000 0.000 0.000
0.000 0.000 0.500
0.000 0.500 0.000
0.500 0.000 0.000
0.500 0.500 0.500
```

(2)
This record from Alexandria via LeMat-Bulk describes an optimized crystal structure of Pa2ZnSi3Ni4. The functional is PBE-GGA.

Properties
Spin magnetization, μB per formula unit: 0.0
E_form (uncorrected), kcal/mol of atoms: -15.72

Geometry as POSCAR:
```
Pa2ZnSi3Ni4
1.0
3.972 0.000 0.000
0.000 3.972 0.000
0.000 0.000 9.636
Pa Zn Si Ni
2 1 3 4
direct
0.000 0.500 0.245
0.500 0.000 0.755
0.000 0.000 0.500
0.000 0.500 0.874
0.500 0.000 0.126
0.500 0.500 0.500
0.000 0.000 0.000
0.000 0.500 0.640
0.500 0.000 0.360
0.500 0.500 0.000
```

(3)
This record from Alexandria via LeMat-Bulk describes an optimized crystal structure of TaMn3Bi. The functional is PBE-GGA.

Properties
Excess energy over the best structure of this formula in the dataset, meV/atom: 0
Spin magnetization, μB per formula unit: 8.1

Geometry as POSCAR:
```
TaMn3Bi
1.0
4.749 0.000 0.000
0.000 4.749 0.000
0.000 0.000 4.749
Ta Mn Bi
1 3 1
direct
0.000 0.000 0.000
0.000 0.000 0.500
0.000 0.500 0.000
0.500 0.000 0.000
0.500 0.500 0.500
```

(4)
This record from Alexandria via LeMat-Bulk describes an optimized crystal structure of LiCa3Bi3S8. The functional is PBE-GGA.

Properties
Spin magnetization, μB per formula unit: 0.0
E_form (uncorrected), kcal/mol of atoms: -24.81

Geometry as POSCAR:
```
LiCa3Bi3S8
1.0
4.009 2.314 6.616
-4.009 2.314 6.616
0.000 -4.629 6.616
Li Ca Bi S
1 3 3 8
direct
0.000 0.000 0.000
0.000 0.000 0.500
0.000 0.500 0.000
0.500 0.000 0.000
0.000 0.500 0.500
0.500 0.000 0.500
0.500 0.500 0.000
0.239 0.239 0.759
0.239 0.759 0.239
0.241 0.761 0.761
0.249 0.249 0.249
0.751 0.751 0.751
0.759 0.239 0.239
0.761 0.241 0.761
0.761 0.761 0.241
```

- Number 2 is which compound?
  Pa2ZnSi3Ni4